# LaWNF2, optimized geometry, DFT PBE with a Hubbard U
data_LaWNF2
_chemical_formula_sum 'La1 W1 N1 F2'
_symmetry_space_group_name_H-M 'P 4/m m m'
_symmetry_Int_Tables_number 123
_symmetry_space_group_name_Hall '-P 4 2'
_cell_length_a 4.532
_cell_length_b 4.532
_cell_length_c 4.997
_cell_angle_alpha 90.00
_cell_angle_beta 90.00
_cell_angle_gamma 90.00
loop_
_atom_site_label
_atom_site_type_symbol
_atom_site_fract_x
_atom_site_fract_y
_atom_site_fract_z
_atom_site_occupancy
La1 La 0.000 0.000 0.000 1
W1 W 0.500 0.500 0.500 1
N1 N 0.000 0.000 0.500 1
F1 F 0.000 0.500 0.000 1
# E_tot: -29.6 eV for the cell shown